(1)
Here is a relaxed Tm3Co2Si2 crystal from the Alexandria database. Energies are from PBE-GGA.

```
28
Lattice="5.459 0.000 0.000 0.000 7.510 0.000 0.000 0.000 12.443" Properties=species:S:1:pos:R:3 pbc="T T T"
Tm 0.701 1.859 3.111
Tm 0.701 1.896 9.332
Tm 1.961 4.542 1.262
Tm 1.961 4.542 4.960
Tm 1.961 6.723 7.483
Tm 1.961 6.723 11.181
Tm 3.498 0.787 1.262
Tm 3.498 0.787 4.960
Tm 3.498 2.968 7.483
Tm 3.498 2.968 11.181
Tm 4.758 5.614 3.111
Tm 4.758 5.651 9.332
Co 0.732 3.976 7.311
Co 0.732 3.976 11.353
Co 0.732 7.288 1.089
Co 0.732 7.288 5.132
Co 4.726 0.222 7.311
Co 4.726 0.222 11.353
Co 4.726 3.533 1.089
Co 4.726 3.533 5.132
Si 0.621 1.877 0.000
Si 0.621 1.877 6.221
Si 1.912 4.516 9.332
Si 1.912 6.749 3.111
Si 3.547 0.761 9.332
Si 3.547 2.994 3.111
Si 4.838 5.632 0.000
Si 4.838 5.632 6.221
```

Results
M_tot, μB/f.u.: 0.00
ΔE_f (raw), eV per atom: -0.678
Total energy, eV per formula unit: -43.2

***

(2)
Here is a relaxed TmCo4Si crystal from the Alexandria database. Energies are from PBE-GGA.

```
12
Lattice="1.822 -7.182 0.000 1.822 7.182 0.000 0.000 0.000 6.112" Properties=species:S:1:pos:R:3 pbc="T T T"
Tm 1.822 5.574 4.584
Tm 1.822 -5.574 1.528
Co 1.822 6.116 1.528
Co 1.822 2.586 3.386
Co 1.822 2.586 5.783
Co 1.822 0.000 0.000
Co 1.822 0.000 3.056
Co 1.822 -2.586 0.330
Co 1.822 -2.586 2.726
Co 1.822 -6.116 4.584
Si 1.822 3.880 1.528
Si 1.822 -3.880 4.584
```

Results
M_tot, μB/f.u.: 2.93
ΔE_f (raw), eV per atom: -0.273
Total energy, eV per formula unit: -40.0

***

(3)
Here is a relaxed Tm5Co4Si14 crystal from the Alexandria database. Energies are from PBE-GGA.

```
46
Lattice="12.299 0.000 0.000 0.000 7.782 0.000 -1.181 0.000 7.615" Properties=species:S:1:pos:R:3 pbc="T T T"
Tm 0.000 0.000 0.000
Tm -0.591 3.891 3.808
Tm 4.078 1.932 2.606
Tm 3.488 1.959 6.414
Tm 4.085 5.829 2.586
Tm 3.494 5.844 6.394
Tm 7.623 1.938 1.221
Tm 7.033 1.953 5.029
Tm 7.630 5.823 1.201
Tm 7.039 5.850 5.009
Co 11.554 0.988 4.779
Co 12.144 2.903 0.972
Co -1.027 4.879 6.643
Co -0.436 6.794 2.836
Co 2.995 7.781 0.462
Co 2.405 3.892 4.270
Co 8.122 0.001 7.153
Co 8.713 3.890 3.345
Si -0.393 1.292 2.543
Si -0.983 2.599 6.351
Si 12.101 5.183 1.264
Si 11.510 6.490 5.072
Si 1.275 0.042 5.853
Si 1.531 1.760 4.187
Si 2.122 2.131 0.380
Si 1.866 3.849 2.045
Si 2.136 5.652 0.289
Si 1.545 6.021 4.097
Si 1.221 3.936 6.231
Si 1.812 7.737 2.423
Si 5.279 0.003 0.832
Si 4.689 3.888 4.640
Si 4.695 0.002 4.658
Si 5.286 3.889 0.850
Si 6.422 7.780 2.957
Si 5.832 3.893 6.765
Si 5.838 7.779 6.783
Si 6.429 3.894 2.975
Si 9.306 0.045 5.192
Si 9.897 3.846 1.385
Si 9.572 1.761 3.519
Si 8.982 2.130 7.326
Si 9.252 3.933 5.570
Si 8.996 5.651 7.235
Si 9.586 6.022 3.428
Si 9.843 7.740 1.762
```

Results
M_tot, μB/f.u.: 0.00
ΔE_f (raw), eV per atom: -0.658
Total energy, eV per formula unit: -141.8

***

(4)
Here is a relaxed Tm2CoSi crystal from the Alexandria database. Energies are from PBE-GGA.

```
8
Lattice="5.587 0.000 0.000 0.000 3.959 0.000 -2.748 0.000 7.292" Properties=species:S:1:pos:R:3 pbc="T T T"
Tm -0.058 0.990 3.003
Tm 1.377 2.969 0.428
Tm 1.462 0.990 6.864
Tm 2.897 2.969 4.289
Co -1.209 0.990 5.673
Co 4.047 2.969 1.619
Si 0.051 2.969 5.185
Si 2.788 0.990 2.107
```

Results
M_tot, μB/f.u.: 0.00
ΔE_f (raw), eV per atom: -0.552
Distance to the lowest polymorph of the same formula, meV per atom: 11
Total energy, eV per formula unit: -23.7

***

(5)
Here is a relaxed TmCo5Si2 crystal from the Alexandria database. Energies are from PBE-GGA.

```
16
Lattice="3.546 0.000 0.000 0.000 6.483 0.000 0.000 0.000 9.033" Properties=species:S:1:pos:R:3 pbc="T T T"
Tm 0.000 0.000 0.000
Tm 1.773 3.241 4.517
Co 0.000 1.228 3.240
Co 0.000 1.228 5.793
Co 0.000 3.241 0.000
Co 0.000 5.255 3.240
Co 0.000 5.255 5.793
Co 1.773 0.000 4.517
Co 1.773 2.013 1.277
Co 1.773 2.013 7.757
Co 1.773 4.469 1.277
Co 1.773 4.469 7.757
Si 0.000 3.241 2.219
Si 0.000 3.241 6.814
Si 1.773 0.000 2.297
Si 1.773 0.000 6.736
```

Results
M_tot, μB/f.u.: 2.70
ΔE_f (raw), eV per atom: -0.435
Total energy, eV per formula unit: -54.3

***

(6)
Here is a relaxed TmCo3Si3 crystal from the Alexandria database. Energies are from PBE-GGA.

```
14
Lattice="6.150 0.000 0.000 0.000 6.150 0.000 0.000 0.000 6.150" Properties=species:S:1:pos:R:3 pbc="T T T"
Tm 0.000 0.000 0.000
Tm 3.075 3.075 3.075
Co 0.000 1.537 3.075
Co 0.000 4.612 3.075
Co 1.537 3.075 0.000
Co 3.075 0.000 1.537
Co 3.075 0.000 4.612
Co 4.612 3.075 0.000
Si 0.000 3.075 1.537
Si 0.000 3.075 4.612
Si 1.537 0.000 3.075
Si 3.075 1.537 0.000
Si 3.075 4.612 0.000
Si 4.612 0.000 3.075
```

Results
M_tot, μB/f.u.: 0.00
ΔE_f (raw), eV per atom: -0.129
Distance to the lowest polymorph of the same formula, meV per atom: 219
Total energy, eV per formula unit: -43.0

***

(7)
Here is a relaxed TmCo2Si crystal from the Alexandria database. Energies are from PBE-GGA.

```
12
Lattice="3.963 0.000 0.000 -1.982 3.432 0.000 0.000 0.000 13.822" Properties=species:S:1:pos:R:3 pbc="T T T"
Tm 0.000 0.000 0.000
Tm 0.000 2.288 9.215
Tm 1.982 1.144 4.607
Co 0.000 0.000 2.705
Co 0.000 0.000 11.117
Co 0.000 2.288 6.510
Co 0.000 2.288 11.920
Co 1.982 1.144 1.903
Co 1.982 1.144 7.312
Si 0.000 0.000 6.911
Si 0.000 2.288 2.304
Si 1.982 1.144 11.519
```

Results
M_tot, μB/f.u.: 0.00
ΔE_f (raw), eV per atom: -0.504
Total energy, eV per formula unit: -26.1

***

(8)
Here is a relaxed U3Co6Si5 crystal from the Alexandria database. Energies are from PBE-GGA.

```
28
Lattice="3.940 0.000 0.000 0.000 11.676 0.000 0.000 0.000 8.663" Properties=species:S:1:pos:R:3 pbc="T T T"
U 0.985 0.516 2.148
U 0.985 5.323 2.148
U 0.985 8.757 2.135
U 2.955 2.919 6.528
U 2.955 6.354 6.516
U 2.955 11.161 6.516
Co 0.985 1.057 7.623
Co 0.985 2.919 0.852
Co 0.985 2.919 3.713
Co 0.985 4.781 7.623
Co 0.985 6.881 4.592
Co 0.985 10.634 4.592
Co 2.955 1.043 4.071
Co 2.955 4.795 4.071
Co 2.955 6.895 1.041
Co 2.955 8.757 4.950
Co 2.955 8.757 7.811
Co 2.955 10.620 1.041
Si 0.985 1.214 5.264
Si 0.985 4.624 5.264
Si 0.985 7.232 8.386
Si 0.985 8.757 6.199
Si 0.985 10.283 8.386
Si 2.955 1.393 0.277
Si 2.955 2.919 2.465
Si 2.955 4.445 0.277
Si 2.955 7.052 3.399
Si 2.955 10.463 3.399
```

Results
M_tot, μB/f.u.: 2.37
ΔE_f (raw), eV per atom: -0.501
Total energy, eV per formula unit: -110.6